{"formula": "Y3TeMo", "functional": "meta-GGA SCAN", "state": "PBEsol geometry", "m_tot_mub_per_fu": 2.99, "total_energy_ev_per_cell": -153.0, "e_form_raw_mev_per_atom": 526, "cell": [[5.515, 0.000, 0.000], [0.000, 5.515, 0.000], [0.000, 0.000, 5.515]], "species": ["Y", "Y", "Y", "Mo", "Te"], "fractional_positions": [[0.000, 0.500, 0.000], [0.000, 0.000, 0.500], [0.500, 0.000, 0.000], [0.500, 0.500, 0.500], [0.000, 0.000, 0.000]]}

=====

{"formula": "P2RuWCl", "functional": "meta-GGA SCAN", "state": "PBEsol geometry", "m_tot_mub_per_fu": 2.39, "total_energy_ev_per_cell": -128.0, "e_form_raw_mev_per_atom": 1060, "cell": [[4.574, 0.000, 0.000], [0.000, 4.652, 0.000], [0.000, 0.000, 4.652]], "species": ["Ru", "P", "P", "W", "Cl"], "fractional_positions": [[0.500, 0.500, 0.500], [0.000, 0.000, 0.500], [0.000, 0.500, 0.000], [0.000, 0.000, 0.000], [0.500, 0.000, 0.000]]}

=====

{"formula": "Rb3TlTe", "functional": "meta-GGA SCAN", "state": "PBEsol geometry", "m_tot_mub_per_fu": 2.01, "total_energy_ev_per_cell": -174.0, "e_form_raw_mev_per_atom": -432, "cell": [[6.864, 0.000, 0.000], [0.000, 6.864, 0.000], [0.000, 0.000, 6.864]], "species": ["Tl", "Te", "Rb", "Rb", "Rb"], "fractional_positions": [[0.500, 0.500, 0.500], [0.000, 0.000, 0.000], [0.000, 0.500, 0.000], [0.000, 0.000, 0.500], [0.500, 0.000, 0.000]]}

=====

{"formula": "ZrCdFe2", "functional": "meta-GGA SCAN", "state": "PBEsol geometry", "m_tot_mub_per_fu": 3.44, "e_form_mev_per_atom": 79, "total_energy_ev_per_cell": -97.1, "cell": [[3.190, 0.000, 0.000], [0.000, 4.290, 0.000], [-1.595, -2.145, 4.481]], "species": ["Cd", "Fe", "Fe", "Zr"], "fractional_positions": [[0.267, 0.767, 0.534], [0.024, 0.024, 0.047], [0.720, 0.220, 0.440], [0.489, 0.489, 0.979]]}

=====

{"formula": "BaZrIn", "functional": "meta-GGA SCAN", "state": "PBEsol geometry", "m_tot_mub_per_fu": 0.94, "e_form_mev_per_atom": 506, "total_energy_ev_per_cell": -102.1, "cell": [[-3.370, -3.822, -0.374], [1.233, -4.253, -2.548], [0.791, -4.361, 2.541]], "species": ["Ba", "In", "Zr"], "fractional_positions": [[0.000, 0.000, 0.000], [0.500, 0.500, 0.500], [0.250, 0.250, 0.250]]}

=====

{"formula": "Rb3Er7S12", "functional": "meta-GGA SCAN", "state": "PBEsol geometry", "m_tot_mub_per_fu": 0.00, "total_energy_ev_per_cell": -1159.1, "e_form_raw_mev_per_atom": -2247, "cell": [[-2.051, 3.175, 0.997], [-9.062, -6.921, 3.395], [9.337, -1.093, 22.693]], "species": ["Rb", "Rb", "Rb", "Rb", "Rb", "Rb", "Er", "Er", "Er", "Er", "Er", "Er", "Er", "Er", "Er", "Er", "Er", "Er", "Er", "Er", "S", "S", "S", "S", "S", "S", "S", "S", "S", "S", "S", "S", "S", "S", "S", "S", "S", "S", "S", "S", "S", "S", "S", "S"], "fractional_positions": [[0.500, 0.537, 0.129], [0.500, 0.958, 0.863], [0.000, 0.042, 0.363], [0.000, 0.463, 0.629], [0.500, 0.802, 0.475], [0.000, 0.198, 0.975], [0.500, 0.655, 0.789], [0.500, 0.844, 0.211], [0.000, 0.156, 0.711], [0.000, 0.345, 0.289], [0.500, 0.327, 0.818], [0.500, 0.178, 0.181], [0.000, 0.822, 0.681], [0.000, 0.673, 0.318], [0.500, 0.468, 0.419], [0.500, 0.027, 0.584], [0.000, 0.973, 0.084], [0.000, 0.532, 0.919], [0.000, 0.243, 0.499], [0.500, 0.757, 0.999], [0.500, 0.380, 0.923], [0.500, 0.125, 0.077], [0.000, 0.875, 0.577], [0.000, 0.620, 0.423], [0.500, 0.507, 0.306], [0.500, 0.992, 0.696], [0.000, 0.008, 0.196], [0.000, 0.493, 0.806], [0.500, 0.393, 0.519], [0.500, 0.089, 0.480], [0.000, 0.911, 0.980], [0.000, 0.607, 0.019], [0.500, 0.304, 0.711], [0.500, 0.198, 0.288], [0.000, 0.802, 0.788], [0.000, 0.696, 0.211], [0.500, 0.672, 0.680], [0.500, 0.825, 0.322], [0.000, 0.175, 0.822], [0.000, 0.328, 0.180], [0.500, 0.681, 0.897], [0.500, 0.822, 0.103], [0.000, 0.178, 0.603], [0.000, 0.319, 0.397]]}

=====

{"formula": "HfCoSn", "functional": "meta-GGA SCAN", "state": "PBEsol geometry", "m_tot_mub_per_fu": 0.00, "e_form_mev_per_atom": -417, "total_energy_ev_per_cell": -702.9, "cell": [[7.018, 0.000, 0.000], [-3.509, 6.078, 0.000], [0.000, 0.000, 7.037]], "species": ["Hf", "Hf", "Hf", "Hf", "Hf", "Hf", "Co", "Co", "Co", "Co", "Co", "Co", "Sn", "Sn", "Sn", "Sn", "Sn", "Sn"], "fractional_positions": [[0.991, 0.393, 0.250], [0.402, 0.009, 0.250], [0.607, 0.598, 0.250], [0.009, 0.402, 0.750], [0.393, 0.991, 0.750], [0.598, 0.607, 0.750], [0.667, 0.333, 0.535], [0.333, 0.667, 0.465], [0.667, 0.333, 0.965], [0.000, 0.000, 0.250], [0.000, 0.000, 0.750], [0.333, 0.667, 0.035], [0.732, 0.000, 0.500], [0.000, 0.732, 0.500], [0.000, 0.732, 0.000], [0.268, 0.268, 0.500], [0.268, 0.268, 0.000], [0.732, 0.000, 0.000]]}

=====

{"formula": "ZrTcPt", "functional": "meta-GGA SCAN", "state": "PBEsol geometry", "m_tot_mub_per_fu": 0.00, "e_form_mev_per_atom": -59, "total_energy_ev_per_cell": -136.1, "cell": [[2.804, 0.000, 0.000], [-1.402, 2.428, 0.000], [0.000, 0.000, 7.163]], "species": ["Pt", "Tc", "Zr"], "fractional_positions": [[0.000, 0.000, 0.990], [0.333, 0.667, 0.681], [0.667, 0.333, 0.329]]}

=====

{"formula": "Na2PtRhCl", "functional": "meta-GGA SCAN", "state": "PBEsol geometry", "m_tot_mub_per_fu": 0.00, "total_energy_ev_per_cell": -119.6, "e_form_raw_mev_per_atom": 145, "cell": [[4.528, 0.000, 0.000], [0.000, 5.546, 0.000], [0.000, 0.000, 5.546]], "species": ["Na", "Na", "Rh", "Pt", "Cl"], "fractional_positions": [[0.000, 0.000, 0.500], [0.000, 0.500, 0.000], [0.000, 0.000, 0.000], [0.500, 0.000, 0.000], [0.500, 0.500, 0.500]]}

=====

{"formula": "BaNa2Ca", "functional": "meta-GGA SCAN", "state": "PBEsol geometry", "m_tot_mub_per_fu": 0.07, "e_form_mev_per_atom": 40, "total_energy_ev_per_cell": -57.5, "cell": [[-6.055, -0.463, 1.380], [-3.133, -5.187, -1.434], [-1.878, -3.853, 4.518]], "species": ["Na", "Na", "Ca", "Ba"], "fractional_positions": [[0.250, 0.250, 0.250], [0.750, 0.750, 0.750], [0.000, 0.000, 0.000], [0.500, 0.500, 0.500]]}

=====

{"formula": "Sc2Ir", "functional": "meta-GGA SCAN", "state": "PBEsol geometry", "m_tot_mub_per_fu": 0.00, "e_form_mev_per_atom": -914, "total_energy_ev_per_cell": -306.9, "cell": [[-3.707, -1.906, 0.275], [3.161, -5.906, 1.668], [-1.903, 4.416, 4.954]], "species": ["Ir", "Ir", "Ir", "Sc", "Sc", "Sc", "Sc", "Sc", "Sc"], "fractional_positions": [[0.500, 0.000, 0.000], [0.000, 0.667, 0.333], [0.000, 0.333, 0.667], [0.000, 0.000, 0.257], [0.500, 0.000, 0.586], [0.000, 0.743, 0.743], [0.000, 0.257, 0.000], [0.500, 0.414, 0.414], [0.500, 0.586, 0.000]]}

=====

{"formula": "Ta2Co3Si", "functional": "meta-GGA SCAN", "state": "PBEsol geometry", "m_tot_mub_per_fu": 0.00, "total_energy_ev_per_cell": -395.1, "e_form_raw_mev_per_atom": -407, "cell": [[-3.549, -0.770, 3.127], [0.230, -2.563, -4.042], [4.173, -5.109, 3.478]], "species": ["Si", "Si", "Co", "Co", "Co", "Co", "Co", "Co", "Ta", "Ta", "Ta", "Ta"], "fractional_positions": [[0.000, 0.000, 0.500], [0.000, 0.000, 0.000], [0.830, 0.170, 0.750], [0.661, 0.830, 0.250], [0.170, 0.830, 0.250], [0.830, 0.661, 0.750], [0.170, 0.339, 0.250], [0.339, 0.170, 0.750], [0.333, 0.667, 0.560], [0.667, 0.333, 0.440], [0.667, 0.333, 0.060], [0.333, 0.667, 0.940]]}

=====

{"formula": "AlCr2In", "functional": "meta-GGA SCAN", "state": "PBEsol geometry", "m_tot_mub_per_fu": 0.12, "e_form_mev_per_atom": 10, "total_energy_ev_per_cell": -77.9, "cell": [[-2.568, 2.938, 1.290], [0.027, -1.633, 3.771], [4.048, 1.394, -1.664]], "species": ["Cr", "Cr", "Al", "In"], "fractional_positions": [[0.000, 0.000, 0.000], [0.750, 0.250, 0.500], [0.250, 0.750, 0.500], [0.500, 0.500, 0.000]]}

=====

{"formula": "Te2MoAu", "functional": "meta-GGA SCAN", "state": "PBEsol geometry", "m_tot_mub_per_fu": 1.94, "total_energy_ev_per_cell": -178.0, "e_form_raw_mev_per_atom": 148, "cell": [[3.647, 0.000, 0.000], [0.000, 3.986, 0.000], [-1.823, 0.000, 6.120]], "species": ["Au", "Mo", "Te", "Te"], "fractional_positions": [[0.733, 0.000, 0.466], [0.567, 0.500, 0.133], [0.972, 0.000, 0.944], [0.236, 0.500, 0.473]]}

=====

{"formula": "FeOs2Rh", "functional": "meta-GGA SCAN", "state": "PBEsol geometry", "m_tot_mub_per_fu": 3.26, "e_form_mev_per_atom": 279, "total_energy_ev_per_cell": -194.5, "cell": [[-2.479, -1.255, -0.067], [0.915, -1.598, -3.926], [2.549, -2.164, 3.870]], "species": ["Fe", "Os", "Os", "Rh"], "fractional_positions": [[0.252, 0.752, 0.505], [0.979, 0.979, 0.958], [0.744, 0.244, 0.488], [0.524, 0.524, 0.048]]}

=====

{"formula": "BaSrMo2", "functional": "meta-GGA SCAN", "state": "PBEsol geometry", "m_tot_mub_per_fu": 0.00, "e_form_mev_per_atom": 1470, "total_energy_ev_per_cell": -125.7, "cell": [[-2.169, -1.299, -4.417], [1.368, -4.309, -2.337], [-3.230, -3.928, -0.191]], "species": ["Ba", "Mo", "Mo", "Sr"], "fractional_positions": [[0.250, 0.250, 0.250], [0.000, 0.000, 0.000], [0.750, 0.750, 0.750], [0.500, 0.500, 0.500]]}

=====

{"formula": "SrLi", "functional": "meta-GGA SCAN", "state": "PBEsol geometry", "m_tot_mub_per_fu": 0.24, "e_form_mev_per_atom": 137, "total_energy_ev_per_cell": -24.4, "cell": [[4.041, 0.000, 0.000], [-2.020, 3.500, 0.000], [0.000, 0.000, 5.496]], "species": ["Sr", "Li"], "fractional_positions": [[0.333, 0.667, 0.500], [0.000, 0.000, 0.000]]}

=====

{"formula": "Y3CuGeS7", "functional": "meta-GGA SCAN", "state": "PBEsol geometry", "m_tot_mub_per_fu": 0.00, "total_energy_ev_per_cell": -410.4, "e_form_raw_mev_per_atom": -1668, "cell": [[-3.468, -4.300, 1.324], [7.343, -4.507, 4.592], [-5.772, 6.163, 4.901]], "species": ["Y", "Y", "Y", "Y", "Y", "Y", "Cu", "Cu", "Ge", "Ge", "S", "S", "S", "S", "S", "S", "S", "S", "S", "S", "S", "S", "S", "S"], "fractional_positions": [[0.753, 0.226, 0.869], [0.253, 0.357, 0.226], [0.253, 0.869, 0.643], [0.753, 0.131, 0.357], [0.253, 0.774, 0.131], [0.753, 0.643, 0.774], [0.294, 0.000, 0.000], [0.794, 0.000, 0.000], [0.671, 0.667, 0.333], [0.171, 0.333, 0.667], [0.009, 0.421, 0.518], [0.509, 0.518, 0.096], [0.778, 0.838, 0.097], [0.278, 0.162, 0.903], [0.009, 0.482, 0.904], [0.555, 0.333, 0.667], [0.278, 0.097, 0.259], [0.055, 0.667, 0.333], [0.509, 0.904, 0.421], [0.778, 0.903, 0.741], [0.278, 0.741, 0.838], [0.009, 0.096, 0.579], [0.778, 0.259, 0.162], [0.509, 0.579, 0.482]]}

=====

{"formula": "K3AgOs", "functional": "meta-GGA SCAN", "state": "PBEsol geometry", "m_tot_mub_per_fu": 2.16, "e_form_mev_per_atom": 1357, "total_energy_ev_per_cell": -121.4, "cell": [[-0.171, 5.335, -2.793], [0.972, -2.734, -5.280], [-5.943, -0.600, -0.783]], "species": ["K", "K", "K", "Os", "Ag"], "fractional_positions": [[0.000, 0.500, 0.000], [0.000, 0.000, 0.500], [0.500, 0.000, 0.000], [0.500, 0.500, 0.500], [0.000, 0.000, 0.000]]}

=====

{"formula": "PdSe2Cl", "functional": "meta-GGA SCAN", "state": "PBEsol geometry", "m_tot_mub_per_fu": 0.00, "total_energy_ev_per_cell": -82.0, "e_form_raw_mev_per_atom": -277, "cell": [[3.822, 0.000, 0.000], [1.911, 3.310, 0.000], [1.911, 1.103, 7.417]], "species": ["Pd", "Se", "Se", "Cl"], "fractional_positions": [[0.500, 0.500, 0.500], [0.888, 0.888, 0.336], [0.112, 0.112, 0.664], [0.000, 0.000, 0.000]]}

=====

{"formula": "LiTe2Br", "functional": "meta-GGA SCAN", "state": "PBEsol geometry", "m_tot_mub_per_fu": 0.00, "total_energy_ev_per_cell": -99.1, "e_form_raw_mev_per_atom": -697, "cell": [[-1.573, 3.376, -1.298], [-1.780, -1.954, -2.927], [-6.693, -1.236, 4.896]], "species": ["Te", "Te", "Br", "Li"], "fractional_positions": [[0.000, 0.000, 0.101], [0.500, 0.500, 0.215], [0.000, 0.000, 0.599], [0.500, 0.500, 0.585]]}

=====

{"formula": "AlCd2Re", "functional": "meta-GGA SCAN", "state": "PBEsol geometry", "m_tot_mub_per_fu": 0.58, "e_form_mev_per_atom": 240, "total_energy_ev_per_cell": -138.7, "cell": [[-1.946, -1.884, 1.045], [0.892, -2.389, 1.386], [-0.498, 3.252, 8.965]], "species": ["Re", "Al", "Cd", "Cd"], "fractional_positions": [[0.506, 0.506, 0.483], [0.244, 0.244, 0.269], [0.996, 0.996, 0.011], [0.755, 0.755, 0.736]]}

=====

{"formula": "La2AgAu2", "functional": "meta-GGA SCAN", "state": "PBEsol geometry", "m_tot_mub_per_fu": 0.00, "e_form_mev_per_atom": -845, "total_energy_ev_per_cell": -520.2, "cell": [[3.982, 0.000, 0.000], [0.000, 7.902, 0.000], [0.000, 0.000, 7.902]], "species": ["Au", "Au", "Au", "Au", "Ag", "Ag", "La", "La", "La", "La"], "fractional_positions": [[0.000, 0.371, 0.871], [0.000, 0.871, 0.629], [0.000, 0.629, 0.129], [0.000, 0.129, 0.371], [0.000, 0.000, 0.000], [0.000, 0.500, 0.500], [0.500, 0.172, 0.672], [0.500, 0.672, 0.828], [0.500, 0.828, 0.328], [0.500, 0.328, 0.172]]}

=====

{"formula": "ScCoI3", "functional": "meta-GGA SCAN", "state": "PBEsol geometry", "m_tot_mub_per_fu": 0.52, "total_energy_ev_per_cell": -141.4, "e_form_raw_mev_per_atom": 67, "cell": [[-2.362, -0.616, -4.476], [2.284, -4.521, -0.583], [-3.899, -2.275, 2.370]], "species": ["I", "I", "I", "Sc", "Co"], "fractional_positions": [[0.000, 0.500, 0.000], [0.000, 0.000, 0.500], [0.500, 0.000, 0.000], [0.500, 0.500, 0.500], [0.000, 0.000, 0.000]]}

=====

{"formula": "BaLi2Te", "functional": "meta-GGA SCAN", "state": "PBEsol geometry", "m_tot_mub_per_fu": 0.03, "total_energy_ev_per_cell": -85.0, "e_form_raw_mev_per_atom": -854, "cell": [[-2.738, 3.098, -1.958], [-4.534, -0.613, 0.025], [-2.814, 3.936, 4.818]], "species": ["Te", "Ba", "Li", "Li"], "fractional_positions": [[0.453, 0.453, 0.640], [0.252, 0.252, 0.243], [0.051, 0.051, 0.847], [0.751, 0.751, 0.746]]}